P | Density functional theory data (PBE) for a geometry-optimized CdHOF structure.

Computed properties:
calculated volume = 12.06 A^3/atom

a = 3.517 Å, b = 5.616 Å, c = 4.885 Å
α = 90.00°, β = 90.00°, γ = 90.00°
Fractional coordinates of all 8 atoms:
Cd: 0.000 0.232 0.000
Cd: 0.500 0.768 0.500
H: 0.000 0.770 0.927
H: 0.500 0.230 0.427
O: 0.000 0.878 0.767
O: 0.500 0.122 0.267
F: 0.000 0.607 0.229
F: 0.500 0.393 0.729

Q | Density functional theory data (PBE) for a geometry-optimized CdHOF structure.

Computed properties:
calculated volume = 13.21 A^3/atom

a = 6.201 Å, b = 3.529 Å, c = 4.920 Å
α = 90.00°, β = 100.98°, γ = 90.00°
Fractional coordinates of all 8 atoms:
Cd: 0.000 0.000 0.000
Cd: 0.500 0.500 0.000
H: 0.223 0.500 0.397
H: 0.723 0.000 0.397
O: 0.197 0.500 0.195
O: 0.697 0.000 0.195
F: 0.293 0.000 0.746
F: 0.793 0.500 0.746

Quick ranking, most stable first: P, Q.

P | Density functional theory data (PBE) for a geometry-optimized RbCdH2F structure.

Computed properties:
calculated volume = 32.63 A^3/atom

a = 5.687 Å, b = 5.687 Å, c = 5.043 Å
α = 90.00°, β = 90.00°, γ = 90.00°
Fractional coordinates of all 5 atoms:
Rb: 0.000 0.000 0.000
Cd: 0.500 0.500 0.000
H: 0.000 0.500 0.500
H: 0.500 0.000 0.500
F: 0.000 0.000 0.500

Q | Density functional theory data (PBE) for a geometry-optimized RbCdH2F structure.

Computed properties:
calculated volume = 23.46 A^3/atom

a = 5.385 Å, b = 5.385 Å, c = 4.044 Å
α = 90.00°, β = 90.00°, γ = 90.00°
Fractional coordinates of all 5 atoms:
Rb: 0.000 0.000 0.000
Cd: 0.500 0.500 0.000
H: 0.000 0.500 0.500
H: 0.500 0.000 0.500
F: 0.500 0.500 0.500

Quick ranking, most stable first: Q, P.

P | Density functional theory data (PBE) for a geometry-optimized HfCdF2 structure.

Computed properties:
calculated volume = 18.71 A^3/atom

a = 4.634 Å, b = 4.634 Å, c = 13.943 Å
α = 90.00°, β = 90.00°, γ = 90.00°
Fractional coordinates of all 16 atoms:
Hf: 0.000 0.000 0.000
Hf: 0.000 0.500 0.250
Hf: 0.500 0.000 0.750
Hf: 0.500 0.500 0.500
Cd: 0.000 0.000 0.500
Cd: 0.000 0.500 0.750
Cd: 0.500 0.000 0.250
Cd: 0.500 0.500 0.000
F: 0.015 0.250 0.125
F: 0.250 0.515 0.375
F: 0.250 0.985 0.875
F: 0.485 0.250 0.625
F: 0.515 0.750 0.625
F: 0.750 0.015 0.875
F: 0.750 0.485 0.375
F: 0.985 0.750 0.125

Q | Density functional theory data (PBE) for a geometry-optimized HfCdF2 structure.

Computed properties:
calculated volume = 15.44 A^3/atom

a = 6.275 Å, b = 6.275 Å, c = 6.275 Å
α = 90.00°, β = 90.00°, γ = 90.00°
Fractional coordinates of all 16 atoms:
Hf: 0.000 0.000 0.000
Hf: 0.000 0.500 0.500
Hf: 0.500 0.000 0.500
Hf: 0.500 0.500 0.000
Cd: 0.000 0.000 0.500
Cd: 0.000 0.500 0.000
Cd: 0.500 0.000 0.000
Cd: 0.500 0.500 0.500
F: 0.250 0.250 0.250
F: 0.250 0.250 0.750
F: 0.250 0.750 0.250
F: 0.250 0.750 0.750
F: 0.750 0.250 0.250
F: 0.750 0.250 0.750
F: 0.750 0.750 0.250
F: 0.750 0.750 0.750

Quick ranking, most stable first: P, Q.

P | Density functional theory data (PBE) for a geometry-optimized Hf2CdF structure.

Computed properties:
calculated volume = 22.36 A^3/atom

a = 5.225 Å, b = 5.225 Å, c = 13.101 Å
α = 90.00°, β = 90.00°, γ = 90.00°
Fractional coordinates of all 16 atoms:
Hf: 0.125 0.250 0.125
Hf: 0.250 0.625 0.375
Hf: 0.250 0.875 0.875
Hf: 0.375 0.250 0.625
Hf: 0.625 0.750 0.625
Hf: 0.750 0.125 0.875
Hf: 0.750 0.375 0.375
Hf: 0.875 0.750 0.125
Cd: 0.000 0.000 0.500
Cd: 0.000 0.500 0.750
Cd: 0.500 0.000 0.250
Cd: 0.500 0.500 0.000
F: 0.000 0.000 0.000
F: 0.000 0.500 0.250
F: 0.500 0.000 0.750
F: 0.500 0.500 0.500

Q | Density functional theory data (PBE) for a geometry-optimized Hf2CdF structure.

Computed properties:
calculated volume = 18.86 A^3/atom

a = 6.707 Å, b = 6.707 Å, c = 6.707 Å
α = 90.00°, β = 90.00°, γ = 90.00°
Fractional coordinates of all 16 atoms:
Hf: 0.250 0.250 0.250
Hf: 0.250 0.250 0.750
Hf: 0.250 0.750 0.250
Hf: 0.250 0.750 0.750
Hf: 0.750 0.250 0.250
Hf: 0.750 0.250 0.750
Hf: 0.750 0.750 0.250
Hf: 0.750 0.750 0.750
Cd: 0.000 0.000 0.000
Cd: 0.000 0.500 0.500
Cd: 0.500 0.000 0.500
Cd: 0.500 0.500 0.000
F: 0.000 0.000 0.500
F: 0.000 0.500 0.000
F: 0.500 0.000 0.000
F: 0.500 0.500 0.500

Quick ranking, most stable first: Q, P.

P | Density functional theory data (PBE) for a geometry-optimized HfCd3F structure.

Computed properties:
calculated volume = 38.42 A^3/atom

a = 5.770 Å, b = 5.770 Å, c = 5.770 Å
α = 90.00°, β = 90.00°, γ = 90.00°
Fractional coordinates of all 5 atoms:
Hf: 0.000 0.000 0.000
Cd: 0.000 0.000 0.500
Cd: 0.000 0.500 0.000
Cd: 0.500 0.000 0.000
F: 0.500 0.500 0.500

Q | Density functional theory data (PBE) for a geometry-optimized HfCd3F structure.

Computed properties:
calculated volume = 21.10 A^3/atom

a = 4.725 Å, b = 4.725 Å, c = 4.725 Å
α = 90.00°, β = 90.00°, γ = 90.00°
Fractional coordinates of all 5 atoms:
Hf: 0.000 0.000 0.000
Cd: 0.000 0.500 0.500
Cd: 0.500 0.000 0.500
Cd: 0.500 0.500 0.000
F: 0.500 0.500 0.500

Quick ranking, most stable first: Q, P.

P | Density functional theory data (PBE) for a geometry-optimized HfCd2F8 structure.

Computed properties:
calculated volume = 12.63 A^3/atom

a = 7.902 Å, b = 7.902 Å, c = 5.098 Å
α = 103.68°, β = 103.68°, γ = 26.75°
Fractional coordinates of all 11 atoms:
Hf: 0.000 0.000 0.000
Cd: 0.327 0.327 0.337
Cd: 0.673 0.673 0.663
F: 0.089 0.089 0.374
F: 0.126 0.126 0.912
F: 0.267 0.267 0.716
F: 0.480 0.480 0.204
F: 0.520 0.520 0.796
F: 0.733 0.733 0.284
F: 0.874 0.874 0.088
F: 0.911 0.911 0.626

Q | Density functional theory data (PBE) for a geometry-optimized HfCd2F8 structure.

Computed properties:
calculated volume = 15.37 A^3/atom

a = 6.021 Å, b = 6.021 Å, c = 8.141 Å
α = 104.03°, β = 104.03°, γ = 36.33°
Fractional coordinates of all 11 atoms:
Hf: 0.000 0.000 0.000
Cd: 0.239 0.239 0.685
Cd: 0.761 0.761 0.315
F: 0.088 0.088 0.814
F: 0.184 0.184 0.139
F: 0.332 0.332 0.468
F: 0.449 0.449 0.860
F: 0.551 0.551 0.140
F: 0.668 0.668 0.532
F: 0.816 0.816 0.861
F: 0.912 0.912 0.186

Quick ranking, most stable first: Q, P.

P | Density functional theory data (PBE) for a geometry-optimized HfCdN2F structure.

Computed properties:
calculated volume = 14.58 A^3/atom

a = 4.232 Å, b = 4.232 Å, c = 4.073 Å
α = 90.00°, β = 90.00°, γ = 90.00°
Fractional coordinates of all 5 atoms:
Hf: 0.000 0.000 0.000
Cd: 0.500 0.500 0.500
N: 0.000 0.500 0.000
N: 0.500 0.000 0.000
F: 0.000 0.000 0.500

Q | Density functional theory data (PBE) for a geometry-optimized HfCdN2F structure.

Computed properties:
calculated volume = 13.92 A^3/atom

a = 4.168 Å, b = 4.168 Å, c = 4.007 Å
α = 90.00°, β = 90.00°, γ = 90.00°
Fractional coordinates of all 5 atoms:
Hf: 0.000 0.000 0.000
Cd: 0.500 0.500 0.500
N: 0.000 0.500 0.500
N: 0.500 0.000 0.500
F: 0.500 0.500 0.000

Quick ranking, most stable first: P, Q.

P | Density functional theory data (PBE) for a geometry-optimized CdHgF structure.

Computed properties:
calculated volume = 21.44 A^3/atom

a = 5.813 Å, b = 5.879 Å, c = 7.822 Å
α = 90.00°, β = 105.79°, γ = 90.00°
Fractional coordinates of all 12 atoms:
Cd: 0.192 0.000 0.333
Cd: 0.308 0.500 0.667
Cd: 0.692 0.500 0.333
Cd: 0.808 0.000 0.667
Hg: 0.240 0.000 0.953
Hg: 0.260 0.500 0.047
Hg: 0.740 0.500 0.953
Hg: 0.760 0.000 0.047
F: 0.000 0.258 0.500
F: 0.000 0.742 0.500
F: 0.500 0.242 0.500
F: 0.500 0.758 0.500

Q | Density functional theory data (PBE) for a geometry-optimized CdHgF structure.

Computed properties:
calculated volume = 20.91 A^3/atom

a = 3.767 Å, b = 4.490 Å, c = 7.735 Å
α = 106.43°, β = 90.09°, γ = 90.01°
Fractional coordinates of all 6 atoms:
Cd: 0.250 0.164 0.330
Cd: 0.750 0.836 0.670
Hg: 0.250 0.712 0.942
Hg: 0.750 0.288 0.058
F: 0.250 0.745 0.474
F: 0.750 0.255 0.526

R | Density functional theory data (PBE) for a geometry-optimized CdHgF structure.

Computed properties:
calculated volume = 22.26 A^3/atom

a = 3.318 Å, b = 3.318 Å, c = 7.002 Å
α = 90.00°, β = 90.00°, γ = 120.00°
Fractional coordinates of all 3 atoms:
Cd: 0.000 0.000 0.000
Hg: 0.333 0.667 0.620
F: 0.667 0.333 0.184

S | Density functional theory data (PBE) for a geometry-optimized CdHgF structure.

Computed properties:
calculated volume = 22.18 A^3/atom

a = 3.111 Å, b = 3.111 Å, c = 13.752 Å
α = 90.00°, β = 90.00°, γ = 90.00°
Fractional coordinates of all 6 atoms:
Cd: 0.000 0.000 0.000
Cd: 0.500 0.500 0.500
Hg: 0.000 0.000 0.310
Hg: 0.500 0.500 0.810
F: 0.000 0.000 0.576
F: 0.500 0.500 0.076

Quick ranking, most stable first: Q, P, R, S.

P | Density functional theory data (PBE) for a geometry-optimized CdHgF structure.

Computed properties:
calculated volume = 23.38 A^3/atom

a = 3.470 Å, b = 5.528 Å, c = 7.871 Å
α = 110.50°, β = 96.81°, γ = 90.01°
Fractional coordinates of all 6 atoms:
Cd: 0.000 0.000 0.000
Cd: 0.413 0.321 0.642
Hg: 0.205 0.536 0.320
Hg: 0.706 0.008 0.321
F: 0.443 0.090 0.837
F: 0.970 0.575 0.805

Q | Density functional theory data (PBE) for a geometry-optimized CdHgF structure.

Computed properties:
calculated volume = 23.42 A^3/atom

a = 6.245 Å, b = 6.183 Å, c = 7.465 Å
α = 90.00°, β = 102.80°, γ = 90.00°
Fractional coordinates of all 12 atoms:
Cd: 0.191 0.000 0.208
Cd: 0.309 0.500 0.792
Cd: 0.691 0.500 0.208
Cd: 0.809 0.000 0.792
Hg: 0.000 0.252 0.500
Hg: 0.000 0.748 0.500
Hg: 0.500 0.248 0.500
Hg: 0.500 0.752 0.500
F: 0.181 0.000 0.913
F: 0.319 0.500 0.087
F: 0.681 0.500 0.913
F: 0.819 0.000 0.087

Quick ranking, most stable first: P, Q.

P | Density functional theory data (PBE) for a geometry-optimized CdHgF5 structure.

Computed properties:
calculated volume = 17.61 A^3/atom

a = 5.866 Å, b = 5.866 Å, c = 8.384 Å
α = 110.71°, β = 110.71°, γ = 71.80°
Fractional coordinates of all 14 atoms:
Cd: 0.030 0.970 0.750
Cd: 0.970 0.030 0.250
Hg: 0.500 0.500 0.000
Hg: 0.500 0.500 0.500
F: 0.173 0.802 0.044
F: 0.198 0.827 0.456
F: 0.231 0.276 0.366
F: 0.276 0.231 0.866
F: 0.351 0.649 0.750
F: 0.649 0.351 0.250
F: 0.724 0.769 0.134
F: 0.769 0.724 0.634
F: 0.802 0.173 0.544
F: 0.827 0.198 0.956

Q | Density functional theory data (PBE) for a geometry-optimized CdHgF5 structure.

Computed properties:
calculated volume = 13.86 A^3/atom

a = 5.030 Å, b = 5.030 Å, c = 7.715 Å
α = 94.42°, β = 94.42°, γ = 90.15°
Fractional coordinates of all 14 atoms:
Cd: 0.009 0.991 0.750
Cd: 0.991 0.009 0.250
Hg: 0.500 0.500 0.000
Hg: 0.500 0.500 0.500
F: 0.115 0.244 0.510
F: 0.155 0.563 0.843
F: 0.244 0.115 0.010
F: 0.315 0.685 0.250
F: 0.437 0.845 0.657
F: 0.563 0.155 0.343
F: 0.685 0.315 0.750
F: 0.756 0.885 0.990
F: 0.845 0.437 0.157
F: 0.885 0.756 0.490

Quick ranking, most stable first: P, Q.

P | Density functional theory data (PBE) for a geometry-optimized CdHg2F8 structure.

Computed properties:
calculated volume = 15.55 A^3/atom

a = 6.074 Å, b = 6.074 Å, c = 4.981 Å
α = 99.41°, β = 99.41°, γ = 71.89°
Fractional coordinates of all 11 atoms:
Cd: 0.000 0.000 0.000
Hg: 0.318 0.318 0.553
Hg: 0.682 0.682 0.447
F: 0.064 0.676 0.695
F: 0.190 0.190 0.837
F: 0.324 0.936 0.305
F: 0.430 0.430 0.244
F: 0.570 0.570 0.756
F: 0.676 0.064 0.695
F: 0.810 0.810 0.163
F: 0.936 0.324 0.305

Q | Density functional theory data (PBE) for a geometry-optimized CdHg2F8 structure.

Computed properties:
calculated volume = 16.73 A^3/atom

a = 5.043 Å, b = 6.167 Å, c = 6.292 Å
α = 70.22°, β = 87.78°, γ = 89.73°
Fractional coordinates of all 11 atoms:
Cd: 0.000 0.000 0.000
Hg: 0.251 0.364 0.366
Hg: 0.749 0.636 0.634
F: 0.225 0.665 0.082
F: 0.226 0.073 0.662
F: 0.249 0.572 0.574
F: 0.287 0.162 0.157
F: 0.713 0.838 0.843
F: 0.751 0.428 0.426
F: 0.774 0.927 0.338
F: 0.775 0.335 0.918

Quick ranking, most stable first: Q, P.